A relaxed structure of Pr4In3Ga, computed with GGA-PBE.

Cell and atoms, written as POSCAR:
```
Pr4In3Ga
1.0
4.437 0.000 0.000
0.000 4.693 0.000
0.000 0.000 11.802
Pr In Ga
4 3 1
direct
0.000 0.000 0.000
0.000 0.500 0.484
0.500 0.000 0.710
0.500 0.500 0.215
0.000 0.500 0.769
0.500 0.000 0.423
0.500 0.500 0.933
0.000 0.000 0.272
```

Output
* symmetry: Pmm2, No. 25
* density of states at the Fermi level: 1.206 states/eV per atom
* energy above the lowest structure with this stoichiometry: 38 meV/atom